(1)
# PBE LaSbW2, optimized geometry
data_LaSbW2
_chemical_formula_sum 'La1 Sb1 W2'
_symmetry_space_group_name_H-M 'P 1'
_symmetry_Int_Tables_number 1
_cell_length_a 4.5591
_cell_length_b 4.3193
_cell_length_c 4.3193
_cell_angle_alpha 90.00
_cell_angle_beta 90.00
_cell_angle_gamma 90.00
loop_
_symmetry_equiv_pos_as_xyz
'x,y,z'
loop_
_atom_site_label
_atom_site_fract_x
_atom_site_fract_y
_atom_site_fract_z
La1 0.5000 0.5000 0.0000
Sb1 0.5000 0.0000 0.5000
W1 0.0000 0.0000 0.0000
W2 0.0000 0.5000 0.5000
# - Spin magnetization: 0.00 μB/f.u.
# - N(E_F): 3.124 states/eV per cell
# - Calculated total energy: -32.02 eV/cell


(2)
# PBE KNp2HgO7, optimized geometry
data_KNp2HgO7
_chemical_formula_sum 'K1 Np2 Hg1 O7'
_symmetry_space_group_name_H-M 'P 1'
_symmetry_Int_Tables_number 1
_cell_length_a 4.2334
_cell_length_b 4.2334
_cell_length_c 12.0388
_cell_angle_alpha 90.00
_cell_angle_beta 90.00
_cell_angle_gamma 90.00
loop_
_symmetry_equiv_pos_as_xyz
'x,y,z'
loop_
_atom_site_label
_atom_site_fract_x
_atom_site_fract_y
_atom_site_fract_z
K1 0.0000 0.0000 0.0000
Np1 0.5000 0.5000 0.1761
Np2 0.5000 0.5000 0.8239
Hg1 0.0000 0.0000 0.5000
O1 0.5000 0.5000 0.6724
O2 0.0000 0.5000 0.1633
O3 0.5000 0.0000 0.1633
O4 0.0000 0.5000 0.8367
O5 0.5000 0.0000 0.8367
O6 0.5000 0.5000 0.3276
O7 0.5000 0.5000 0.0000
# - Spin magnetization: 1.16 μB/f.u.
# - N(E_F): 8.142 states/eV per cell
# - Calculated total energy: -86.52 eV/cell


(3)
# PBE K2TlIn2, optimized geometry
data_K2TlIn2
_chemical_formula_sum 'K4 Tl2 In4'
_symmetry_space_group_name_H-M 'P 1'
_symmetry_Int_Tables_number 1
_cell_length_a 10.6184
_cell_length_b 10.6184
_cell_length_c 3.3536
_cell_angle_alpha 90.00
_cell_angle_beta 90.00
_cell_angle_gamma 90.00
loop_
_symmetry_equiv_pos_as_xyz
'x,y,z'
loop_
_atom_site_label
_atom_site_fract_x
_atom_site_fract_y
_atom_site_fract_z
Tl1 0.0000 0.0000 0.0000
Tl2 0.5000 0.5000 0.0000
K1 0.3062 0.8062 0.0000
K2 0.8062 0.6938 0.0000
K3 0.6938 0.1938 0.0000
K4 0.1938 0.3062 0.0000
In1 0.0998 0.5998 0.5000
In2 0.5998 0.9002 0.5000
In3 0.9002 0.4002 0.5000
In4 0.4002 0.0998 0.5000
# - Polymorph energy (0 for the lowest one): 171 meV/atom
# - Formation energy from the elements: 0.082 eV/atom
# - Spin magnetization: 0.00 μB/f.u.
# - N(E_F): 3.591 states/eV per cell


(4)
# PBE LaEr2Co, optimized geometry
data_LaEr2Co
_chemical_formula_sum 'La4 Er8 Co4'
_symmetry_space_group_name_H-M 'P 1'
_symmetry_Int_Tables_number 1
_cell_length_a 6.4028
_cell_length_b 6.9478
_cell_length_c 9.4679
_cell_angle_alpha 90.00
_cell_angle_beta 90.00
_cell_angle_gamma 90.00
loop_
_symmetry_equiv_pos_as_xyz
'x,y,z'
loop_
_atom_site_label
_atom_site_fract_x
_atom_site_fract_y
_atom_site_fract_z
La1 0.6346 0.5576 0.2500
La2 0.8654 0.0576 0.2500
La3 0.3654 0.4424 0.7500
La4 0.1346 0.9424 0.7500
Er1 0.1728 0.6677 0.0691
Er2 0.3272 0.1677 0.4309
Er3 0.8272 0.3323 0.5691
Er4 0.6728 0.8323 0.9309
Er5 0.8272 0.3323 0.9309
Er6 0.6728 0.8323 0.5691
Er7 0.1728 0.6677 0.4309
Er8 0.3272 0.1677 0.0691
Co1 0.0537 0.3759 0.2500
Co2 0.4463 0.8759 0.2500
Co3 0.9463 0.6241 0.7500
Co4 0.5537 0.1241 0.7500
# - Polymorph energy (0 for the lowest one): 0 meV/atom
# - Formation energy from the elements: -0.163 eV/atom
# - Spin magnetization: 0.00 μB/f.u.
# - N(E_F): 16.374 states/eV per cell


> Number 2 is which compound?

KNp2HgO7


> N(E_F) of number 2 (KNp2HgO7)?

8.142 states/eV per cell